# BaAlW2 (GGA-PBE, relaxed)
# VASP energy in eV/f.u.: -28.44
# Magnetic moment in μB per formula unit: 0.00
data_BaAlW2
_cell_length_a 3.1971
_cell_length_b 3.1971
_cell_length_c 29.5832
_cell_angle_alpha 90.00
_cell_angle_beta 90.00
_cell_angle_gamma 120.00
_symmetry_space_group_name_H-M 'R 3 m'
_symmetry_Int_Tables_number 160
_symmetry_space_group_name_Hall 'R 3 -2"'
loop_
_atom_site_label
_atom_site_fract_x
_atom_site_fract_y
_atom_site_fract_z
_atom_site_occupancy
Ba1 0.0000 0.0000 0.0000 1
Al1 0.0000 0.0000 0.2335 1
W1 0.0000 0.0000 0.4956 1
W2 0.0000 0.0000 0.7677 1

# LaZn2Pd2 (GGA-PBE, relaxed)
# ΔE to the lowest computed polymorph in eV per atom: 0.150
# VASP energy in eV/f.u.: -20.30
# Magnetic moment in μB per formula unit: 0.00
data_LaZn2Pd2
_cell_length_a 7.733
_cell_length_b 7.733
_cell_length_c 3.105
_cell_angle_alpha 90.00
_cell_angle_beta 90.00
_cell_angle_gamma 90.00
_symmetry_space_group_name_H-M 'P 4/m b m'
_symmetry_Int_Tables_number 127
_symmetry_space_group_name_Hall '-P 4 2ab'
loop_
_atom_site_label
_atom_site_fract_x
_atom_site_fract_y
_atom_site_fract_z
_atom_site_occupancy
La1 0.000 0.000 0.000 1
Zn1 0.126 0.374 0.500 1
Pd1 0.164 0.664 0.000 1

# DyThTcAu (GGA-PBE, relaxed)
# VASP energy in eV/f.u.: -27.00
# Magnetic moment in μB per formula unit: 0.00
data_DyThTcAu
_cell_length_a 7.164
_cell_length_b 7.164
_cell_length_c 7.164
_cell_angle_alpha 90.00
_cell_angle_beta 90.00
_cell_angle_gamma 90.00
_symmetry_space_group_name_H-M 'F -4 3 m'
_symmetry_Int_Tables_number 216
_symmetry_space_group_name_Hall 'F -4 2 3'
loop_
_atom_site_label
_atom_site_fract_x
_atom_site_fract_y
_atom_site_fract_z
_atom_site_occupancy
Dy1 0.000 0.000 0.000 1
Th1 0.000 0.000 0.500 1
Tc1 0.250 0.250 0.750 1
Au1 0.250 0.250 0.250 1

# Li2HgBi2 (GGA-PBE, relaxed)
# ΔE to the lowest computed polymorph in eV per atom: 0.000
# VASP energy in eV/f.u.: -13.23
# Magnetic moment in μB per formula unit: 0.00
data_Li2HgBi2
_cell_length_a 3.380
_cell_length_b 21.233
_cell_length_c 3.319
_cell_angle_alpha 90.00
_cell_angle_beta 90.00
_cell_angle_gamma 90.00
_symmetry_space_group_name_H-M 'C m m m'
_symmetry_Int_Tables_number 65
_symmetry_space_group_name_Hall '-C 2 2'
loop_
_atom_site_label
_atom_site_fract_x
_atom_site_fract_y
_atom_site_fract_z
_atom_site_occupancy
Li1 0.000 0.080 0.000 1
Hg1 0.000 0.500 0.500 1
Bi1 0.000 0.325 0.500 1

# RbCd11 (GGA-PBE, relaxed)
# VASP energy in eV/f.u.: -11.88
# Magnetic moment in μB per formula unit: 0.00
data_RbCd11
_cell_length_a 12.269
_cell_length_b 12.269
_cell_length_c 7.938
_cell_angle_alpha 90.00
_cell_angle_beta 90.00
_cell_angle_gamma 90.00
_symmetry_space_group_name_H-M 'I 41/a m d'
_symmetry_Int_Tables_number 141
loop_
_symmetry_equiv_pos_as_xyz
'x,y,z'
'-x,-y,-z'
'-y+1/4,x+3/4,z+1/4'
'y+1/4,-x+3/4,-z+1/4'
'-x+1/2,-y,z+1/2'
'x+1/2,y,-z+1/2'
'y+1/4,-x+1/4,z+3/4'
'-y+1/4,x+1/4,-z+3/4'
'x,-y,-z'
'-x,y,z'
'-y+1/4,-x+1/4,-z+3/4'
'y+1/4,x+1/4,z+3/4'
'-x+1/2,y,-z+1/2'
'x+1/2,-y,z+1/2'
'y+1/4,x+3/4,-z+1/4'
'-y+1/4,-x+3/4,z+1/4'
'x+1/2,y+1/2,z+1/2'
'-x+1/2,-y+1/2,-z+1/2'
'-y+3/4,x+1/4,z+3/4'
'y+3/4,-x+1/4,-z+3/4'
'-x,-y+1/2,z'
'x,y+1/2,-z'
'y+3/4,-x+3/4,z+1/4'
'-y+3/4,x+3/4,-z+1/4'
'x+1/2,-y+1/2,-z+1/2'
'-x+1/2,y+1/2,z+1/2'
'-y+3/4,-x+3/4,-z+1/4'
'y+3/4,x+3/4,z+1/4'
'-x,y+1/2,-z'
'x,-y+1/2,z'
'y+3/4,x+1/4,-z+3/4'
'-y+3/4,-x+1/4,z+3/4'
loop_
_atom_site_label
_atom_site_fract_x
_atom_site_fract_y
_atom_site_fract_z
_atom_site_occupancy
Rb1 0.000 0.250 0.375 1
Cd1 0.000 0.000 0.000 1
Cd2 0.000 0.250 0.875 1
Cd3 0.121 0.044 0.678 1

# NiHgW (GGA-PBE, relaxed)
# ΔE to the lowest computed polymorph in eV per atom: 0.000
# VASP energy in eV/f.u.: -17.91
# Magnetic moment in μB per formula unit: 0.00
data_NiHgW
_cell_length_a 2.860
_cell_length_b 2.860
_cell_length_c 11.613
_cell_angle_alpha 90.00
_cell_angle_beta 90.00
_cell_angle_gamma 90.00
_symmetry_space_group_name_H-M 'I 4 m m'
_symmetry_Int_Tables_number 107
_symmetry_space_group_name_Hall 'I 4 -2'
loop_
_atom_site_label
_atom_site_fract_x
_atom_site_fract_y
_atom_site_fract_z
_atom_site_occupancy
Ni1 0.000 0.000 0.000 1
Hg1 0.000 0.000 0.329 1
W1 0.000 0.000 0.635 1